1.
# Li3U2FeS6 PBE relaxed
data_Li3U2FeS6
_chemical_formula_sum 'Li3 U2 Fe1 S6'
_cell_length_a 6.476
_cell_length_b 6.476
_cell_length_c 6.589
_cell_angle_alpha 99.40
_cell_angle_beta 99.40
_cell_angle_gamma 119.95
_space_group_name_H-M_alt 'P 1'
_space_group_IT_number 1
_space_group_name_Hall 'P 1'
loop_
_atom_site_label
_atom_site_type_symbol
_atom_site_fract_x
_atom_site_fract_y
_atom_site_fract_z
_atom_site_occupancy
Li1 Li 0.000 0.000 0.000 1
Li2 Li 0.336 0.664 0.000 1
Li3 Li 0.664 0.336 0.000 1
U1 U 0.167 0.833 0.500 1
U2 U 0.833 0.167 0.500 1
Fe1 Fe 0.500 0.500 0.500 1
S1 S 0.096 0.416 0.250 1
S2 S 0.262 0.262 0.747 1
S3 S 0.416 0.096 0.250 1
S4 S 0.584 0.904 0.750 1
S5 S 0.738 0.738 0.253 1
S6 S 0.904 0.584 0.750 1
# SG: C2/m
# Uncorrected formation energy: -1.1618 eV/atom

---

2.
# NaAgC2O6 PBE relaxed
data_NaAgC2O6
_chemical_formula_sum 'Na1 Ag1 C2 O6'
_cell_length_a 6.328
_cell_length_b 6.328
_cell_length_c 6.328
_cell_angle_alpha 46.37
_cell_angle_beta 46.37
_cell_angle_gamma 46.37
_space_group_name_H-M_alt 'P 1'
_space_group_IT_number 1
_space_group_name_Hall 'P 1'
loop_
_atom_site_label
_atom_site_type_symbol
_atom_site_fract_x
_atom_site_fract_y
_atom_site_fract_z
_atom_site_occupancy
Na1 Na 0.000 0.000 0.000 1
Ag1 Ag 0.500 0.500 0.500 1
C1 C 0.242 0.242 0.242 1
C2 C 0.758 0.758 0.758 1
O1 O 0.017 0.498 0.755 1
O2 O 0.245 0.983 0.502 1
O3 O 0.498 0.755 0.017 1
O4 O 0.502 0.245 0.983 1
O5 O 0.755 0.017 0.498 1
O6 O 0.983 0.502 0.245 1
# SG: R-3
# Uncorrected formation energy: -1.1044 eV/atom

---

3.
# RbIn4Pd2 PBE relaxed
data_RbIn4Pd2
_chemical_formula_sum 'Rb4 In16 Pd8'
_cell_length_a 18.977
_cell_length_b 4.606
_cell_length_c 8.306
_cell_angle_alpha 90.00
_cell_angle_beta 90.00
_cell_angle_gamma 90.00
_space_group_name_H-M_alt 'P 1'
_space_group_IT_number 1
_space_group_name_Hall 'P 1'
loop_
_atom_site_label
_atom_site_type_symbol
_atom_site_fract_x
_atom_site_fract_y
_atom_site_fract_z
_atom_site_occupancy
Rb1 Rb 0.110 0.250 0.018 1
Rb2 Rb 0.390 0.750 0.518 1
Rb3 Rb 0.610 0.250 0.482 1
Rb4 Rb 0.890 0.750 0.982 1
In1 In 0.041 0.750 0.711 1
In2 In 0.096 0.250 0.493 1
In3 In 0.190 0.750 0.338 1
In4 In 0.204 0.750 0.724 1
In5 In 0.296 0.250 0.224 1
In6 In 0.310 0.250 0.838 1
In7 In 0.404 0.750 0.993 1
In8 In 0.459 0.250 0.211 1
In9 In 0.541 0.750 0.789 1
In10 In 0.596 0.250 0.007 1
In11 In 0.690 0.750 0.162 1
In12 In 0.704 0.750 0.776 1
In13 In 0.796 0.250 0.276 1
In14 In 0.810 0.250 0.662 1
In15 In 0.904 0.750 0.507 1
In16 In 0.959 0.250 0.289 1
Pd1 Pd 0.039 0.750 0.353 1
Pd2 Pd 0.237 0.250 0.539 1
Pd3 Pd 0.263 0.750 0.039 1
Pd4 Pd 0.461 0.250 0.853 1
Pd5 Pd 0.539 0.750 0.147 1
Pd6 Pd 0.737 0.250 0.961 1
Pd7 Pd 0.763 0.750 0.461 1
Pd8 Pd 0.961 0.250 0.647 1
# SG: Pnma
# ΔH_f (0 K): -30.20 kJ/mol of atoms

---

4.
# AlReTeN2 PBE relaxed
data_AlReTeN2
_chemical_formula_sum 'Al1 Re1 Te1 N2'
_cell_length_a 3.764
_cell_length_b 3.764
_cell_length_c 6.321
_cell_angle_alpha 90.00
_cell_angle_beta 90.00
_cell_angle_gamma 90.00
_space_group_name_H-M_alt 'P 1'
_space_group_IT_number 1
_space_group_name_Hall 'P 1'
loop_
_atom_site_label
_atom_site_type_symbol
_atom_site_fract_x
_atom_site_fract_y
_atom_site_fract_z
_atom_site_occupancy
Al1 Al 0.000 0.000 0.000 1
Re1 Re 0.500 0.500 0.500 1
Te1 Te 0.000 0.000 0.500 1
N1 N 0.000 0.500 0.000 1
N2 N 0.500 0.000 0.000 1
# SG: P4/mmm
# Uncorrected formation energy: 1.4668 eV/atom

---

5.
# BaFeSe4 PBE relaxed
data_BaFeSe4
_chemical_formula_sum 'Ba1 Fe1 Se4'
_cell_length_a 5.956
_cell_length_b 5.956
_cell_length_c 5.956
_cell_angle_alpha 60.00
_cell_angle_beta 60.00
_cell_angle_gamma 60.00
_space_group_name_H-M_alt 'P 1'
_space_group_IT_number 1
_space_group_name_Hall 'P 1'
loop_
_atom_site_label
_atom_site_type_symbol
_atom_site_fract_x
_atom_site_fract_y
_atom_site_fract_z
_atom_site_occupancy
Ba1 Ba 0.000 0.000 0.000 1
Fe1 Fe 0.750 0.750 0.750 1
Se1 Se 0.377 0.377 0.377 1
Se2 Se 0.377 0.377 0.870 1
Se3 Se 0.377 0.870 0.377 1
Se4 Se 0.870 0.377 0.377 1
# SG: F-43m
# Uncorrected formation energy: 0.1754 eV/atom

---

6.
# La2Os2W PBE relaxed
data_La2Os2W
_chemical_formula_sum 'La4 Os4 W2'
_cell_length_a 6.683
_cell_length_b 6.683
_cell_length_c 5.061
_cell_angle_alpha 90.00
_cell_angle_beta 90.00
_cell_angle_gamma 90.00
_space_group_name_H-M_alt 'P 1'
_space_group_IT_number 1
_space_group_name_Hall 'P 1'
loop_
_atom_site_label
_atom_site_type_symbol
_atom_site_fract_x
_atom_site_fract_y
_atom_site_fract_z
_atom_site_occupancy
La1 La 0.181 0.319 0.000 1
La2 La 0.319 0.819 0.000 1
La3 La 0.681 0.181 0.000 1
La4 La 0.819 0.681 0.000 1
Os1 Os 0.132 0.632 0.500 1
Os2 Os 0.368 0.132 0.500 1
Os3 Os 0.632 0.868 0.500 1
Os4 Os 0.868 0.368 0.500 1
W1 W 0.000 0.000 0.500 1
W2 W 0.500 0.500 0.500 1
# SG: P4/mbm
# ΔH_f (0 K): 15.59 kJ/mol of atoms

---

7.
# MnBeIr2 PBE relaxed
data_MnBeIr2
_chemical_formula_sum 'Mn1 Be1 Ir2'
_cell_length_a 4.225
_cell_length_b 4.225
_cell_length_c 4.225
_cell_angle_alpha 60.00
_cell_angle_beta 60.00
_cell_angle_gamma 60.00
_space_group_name_H-M_alt 'P 1'
_space_group_IT_number 1
_space_group_name_Hall 'P 1'
loop_
_atom_site_label
_atom_site_type_symbol
_atom_site_fract_x
_atom_site_fract_y
_atom_site_fract_z
_atom_site_occupancy
Mn1 Mn 0.000 0.000 0.000 1
Be1 Be 0.250 0.250 0.250 1
Ir1 Ir 0.500 0.500 0.500 1
Ir2 Ir 0.750 0.750 0.750 1
# SG: F-43m
# ΔH_f (0 K): 10.62 kJ/mol of atoms

---

8.
# NaMg2TlRh PBE relaxed
data_NaMg2TlRh
_chemical_formula_sum 'Na1 Mg2 Tl1 Rh1'
_cell_length_a 5.024
_cell_length_b 5.024
_cell_length_c 5.260
_cell_angle_alpha 90.00
_cell_angle_beta 90.00
_cell_angle_gamma 90.00
_space_group_name_H-M_alt 'P 1'
_space_group_IT_number 1
_space_group_name_Hall 'P 1'
loop_
_atom_site_label
_atom_site_type_symbol
_atom_site_fract_x
_atom_site_fract_y
_atom_site_fract_z
_atom_site_occupancy
Na1 Na 0.000 0.000 0.000 1
Mg1 Mg 0.000 0.500 0.500 1
Mg2 Mg 0.500 0.000 0.500 1
Tl1 Tl 0.500 0.500 0.000 1
Rh1 Rh 0.500 0.500 0.500 1
# SG: P4/mmm
# ΔH_f (0 K): -12.37 kJ/mol of atoms

---

9.
# La3ScTl4Te8 PBE relaxed
data_La3ScTl4Te8
_chemical_formula_sum 'La3 Sc1 Tl4 Te8'
_cell_length_a 9.693
_cell_length_b 9.693
_cell_length_c 9.693
_cell_angle_alpha 56.00
_cell_angle_beta 56.00
_cell_angle_gamma 56.00
_space_group_name_H-M_alt 'P 1'
_space_group_IT_number 1
_space_group_name_Hall 'P 1'
loop_
_atom_site_label
_atom_site_type_symbol
_atom_site_fract_x
_atom_site_fract_y
_atom_site_fract_z
_atom_site_occupancy
La1 La 0.000 0.500 0.500 1
La2 La 0.500 0.000 0.500 1
La3 La 0.500 0.500 0.000 1
Sc1 Sc 0.000 0.000 0.000 1
Tl1 Tl 0.000 0.000 0.500 1
Tl2 Tl 0.000 0.500 0.000 1
Tl3 Tl 0.500 0.000 0.000 1
Tl4 Tl 0.500 0.500 0.500 1
Te1 Te 0.228 0.228 0.759 1
Te2 Te 0.228 0.759 0.228 1
Te3 Te 0.241 0.772 0.772 1
Te4 Te 0.258 0.258 0.258 1
Te5 Te 0.742 0.742 0.742 1
Te6 Te 0.759 0.228 0.228 1
Te7 Te 0.772 0.241 0.772 1
Te8 Te 0.772 0.772 0.241 1
# SG: R-3m
# Uncorrected formation energy: -1.0825 eV/atom

---

10.
# HoTmRu PBE relaxed
data_HoTmRu
_chemical_formula_sum 'Ho2 Tm2 Ru2'
_cell_length_a 6.196
_cell_length_b 6.196
_cell_length_c 8.124
_cell_angle_alpha 120.29
_cell_angle_beta 120.29
_cell_angle_gamma 33.21
_space_group_name_H-M_alt 'P 1'
_space_group_IT_number 1
_space_group_name_Hall 'P 1'
loop_
_atom_site_label
_atom_site_type_symbol
_atom_site_fract_x
_atom_site_fract_y
_atom_site_fract_z
_atom_site_occupancy
Ho1 Ho 0.164 0.164 0.071 1
Ho2 Ho 0.836 0.836 0.929 1
Tm1 Tm 0.416 0.416 0.609 1
Tm2 Tm 0.584 0.584 0.391 1
Ru1 Ru 0.131 0.131 0.699 1
Ru2 Ru 0.869 0.869 0.301 1
# SG: C2/m
# ΔH_f (0 K): -32.62 kJ/mol of atoms

---

11.
# TbInNi4 PBE relaxed
data_TbInNi4
_chemical_formula_sum 'Tb1 In1 Ni4'
_cell_length_a 4.995
_cell_length_b 4.995
_cell_length_c 4.995
_cell_angle_alpha 60.00
_cell_angle_beta 60.00
_cell_angle_gamma 60.00
_space_group_name_H-M_alt 'P 1'
_space_group_IT_number 1
_space_group_name_Hall 'P 1'
loop_
_atom_site_label
_atom_site_type_symbol
_atom_site_fract_x
_atom_site_fract_y
_atom_site_fract_z
_atom_site_occupancy
Tb1 Tb 0.000 0.000 0.000 1
In1 In 0.250 0.250 0.250 1
Ni1 Ni 0.128 0.624 0.624 1
Ni2 Ni 0.624 0.128 0.624 1
Ni3 Ni 0.624 0.624 0.128 1
Ni4 Ni 0.624 0.624 0.624 1
# SG: F-43m
# ΔH_f (0 K): -37.51 kJ/mol of atoms

---

12.
# SrAl2ZnOs PBE relaxed
data_SrAl2ZnOs
_chemical_formula_sum 'Sr1 Al2 Zn1 Os1'
_cell_length_a 4.772
_cell_length_b 4.772
_cell_length_c 4.972
_cell_angle_alpha 90.00
_cell_angle_beta 90.00
_cell_angle_gamma 90.00
_space_group_name_H-M_alt 'P 1'
_space_group_IT_number 1
_space_group_name_Hall 'P 1'
loop_
_atom_site_label
_atom_site_type_symbol
_atom_site_fract_x
_atom_site_fract_y
_atom_site_fract_z
_atom_site_occupancy
Sr1 Sr 0.000 0.000 0.000 1
Al1 Al 0.000 0.500 0.500 1
Al2 Al 0.500 0.000 0.500 1
Zn1 Zn 0.500 0.500 0.000 1
Os1 Os 0.500 0.500 0.500 1
# SG: P4/mmm
# ΔH_f (0 K): -25.59 kJ/mol of atoms

---

Calculated raw total energy (eV per atom), listed in the same order as above: -6.291, -6.341, -3.500, -5.730, -3.879, -8.892, -7.544, -2.973, -4.564, -6.446, -5.471, -4.599
Calculated magnetization (μB/atom), listed in the same order as above: 0.63, 0.18, 0.00, 0.72, 0.66, 0.00, 0.91, 0.00, 0.00, 0.00, 0.00, 0.00